# 1
Compound: HoThTlAu
Source: Alexandria via LeMat-Bulk
Functional: PBE
Structure: optimized geometry

Unit cell a=7.528 b=7.528 c=7.528 alpha=90.00 beta=90.00 gamma=90.00
Space group F-43m (No. 216)
Asymmetric unit:
Ho: 0.000 0.000 0.000 x4
Th: 0.000 0.000 0.500 x4
Tl: 0.250 0.250 0.250 x4
Au: 0.250 0.250 0.750 x4

- offset from the most stable computed form (kJ per mole of atoms) = 8.9
- D(E_F) (states/eV per atom) = 0.85
- formation energy from the elements (eV/atom) = -0.392

***

# 2
Compound: HoTiTlAu
Source: Alexandria via LeMat-Bulk
Functional: PBE
Structure: optimized geometry

Unit cell a=7.064 b=7.064 c=7.064 alpha=90.00 beta=90.00 gamma=90.00
Space group F-43m (No. 216)
Asymmetric unit:
Ho: 0.000 0.000 0.000 x4
Ti: 0.000 0.000 0.500 x4
Tl: 0.250 0.250 0.750 x4
Au: 0.250 0.250 0.250 x4

- D(E_F) (states/eV per atom) = 0.75
- formation energy from the elements (eV/atom) = -0.265

***

# 3
Compound: Ho8Tl2Au
Source: Alexandria via LeMat-Bulk
Functional: PBE
Structure: optimized geometry

Unit cell a=18.686 b=5.101 c=6.746 alpha=90.00 beta=100.45 gamma=90.00
Space group C2/m (No. 12)
Asymmetric unit:
Ho: 0.016 0.000 0.266 x4
Ho: 0.091 0.500 0.966 x4
Ho: 0.152 0.500 0.489 x4
Ho: 0.206 0.000 0.817 x4
Tl: 0.186 0.000 0.260 x4
Au: 0.000 0.500 0.500 x2

- D(E_F) (states/eV per atom) = 0.91
- formation energy from the elements (eV/atom) = -0.248

***

# 4
Compound: Ho4TlAu3
Source: Alexandria via LeMat-Bulk
Functional: PBE
Structure: optimized geometry

Unit cell a=3.618 b=5.154 c=10.301 alpha=90.00 beta=90.00 gamma=90.00
Space group Pmmm (No. 47)
Asymmetric unit:
Ho: 0.000 0.000 0.000 x1
Ho: 0.000 0.000 0.500 x1
Ho: 0.000 0.500 0.237 x2
Tl: 0.500 0.500 0.500 x1
Au: 0.500 0.000 0.253 x2
Au: 0.500 0.500 0.000 x1

- D(E_F) (states/eV per atom) = 0.53
- formation energy from the elements (eV/atom) = -0.721

***

# 5
Compound: Ho5Tl2Au
Source: Alexandria via LeMat-Bulk
Functional: PBE
Structure: optimized geometry

Unit cell a=6.941 b=12.840 c=4.922 alpha=90.00 beta=90.00 gamma=90.00
Space group Pbam (No. 55)
Asymmetric unit:
Ho: 0.000 0.000 0.000 x2
Ho: 0.122 0.279 0.000 x4
Ho: 0.174 0.594 0.500 x4
Tl: 0.119 0.846 0.500 x4
Au: 0.000 0.500 0.000 x2

- D(E_F) (states/eV per atom) = 1.08
- formation energy from the elements (eV/atom) = -0.405

***

# 6
Compound: Ho2TlAu
Source: Alexandria via LeMat-Bulk
Functional: PBE
Structure: optimized geometry

Unit cell a=3.611 b=3.611 c=7.674 alpha=90.00 beta=90.00 gamma=90.00
Space group P4/mmm (No. 123)
Asymmetric unit:
Ho: 0.000 0.000 0.229 x2
Tl: 0.500 0.500 0.500 x1
Au: 0.500 0.500 0.000 x1

- D(E_F) (states/eV per atom) = 0.64
- formation energy from the elements (eV/atom) = -0.607

***

# 7
Compound: Ho3Tl2Au2
Source: Alexandria via LeMat-Bulk
Functional: PBE
Structure: optimized geometry

Unit cell a=4.468 b=22.185 c=3.515 alpha=90.00 beta=90.00 gamma=90.00
Space group Cmmm (No. 65)
Asymmetric unit:
Ho: 0.000 0.000 0.000 x2
Ho: 0.000 0.167 0.000 x4
Tl: 0.000 0.422 0.500 x4
Au: 0.000 0.288 0.500 x4

- D(E_F) (states/eV per atom) = 0.77
- formation energy from the elements (eV/atom) = -0.558

***

# 8
Compound: Ho5TlAu2
Source: Alexandria via LeMat-Bulk
Functional: PBE
Structure: optimized geometry

Unit cell a=8.059 b=8.059 c=13.081 alpha=90.00 beta=90.00 gamma=90.00
Space group I4/mcm (No. 140)
Asymmetric unit:
Ho: 0.000 0.000 0.000 x4
Ho: 0.156 0.344 0.143 x16
Tl: 0.000 0.000 0.250 x4
Au: 0.137 0.363 0.500 x8

- D(E_F) (states/eV per atom) = 1.35
- formation energy from the elements (eV/atom) = -0.548